## LaBeAs2 (GGA-PBE)

Data for an optimized crystal structure of LaBeAs2.

Its magnetic moment is 0.000 μB per cell. The calculation puts the density of states at the Fermi level at 3.99 states/eV/cell. The formation energy comes out at -0.27 eV per atom. For the mass density, the calculation gives 5.7 Mg/m³.

The structure belongs to space group Cmmm (No. 65); the cell edges are 4.182, 6.202 and 6.695 Å and the angles 90.00°, 90.00° and 90.00°. Symmetry generates all atoms from La at (0.000, 0.000, 0.000), Be at (0.000, 0.000, 0.500) and As at (0.000, 0.500, 0.302).